No. 1
Sr2BeZn (PBE, relaxed); total magnetization = 0.001 μB per formula unit; V = 28.59 A^3/atom; formation enthalpy at 0 K = 0.399 eV per atom; energy above the lowest structure with this stoichiometry = 317 meV per atom
1.0
-4.711 -4.008 -0.497
1.446 -5.980 0.812
1.040 5.289 3.073
Zn Be Sr
1 1 2
Direct
0.500 0.500 0.000 Zn
0.750 0.250 0.500 Be
0.000 0.000 0.000 Sr
0.250 0.750 0.500 Sr


No. 2
SrBeZn2 (PBE, relaxed); total magnetization = 0.000 μB per formula unit; V = 21.37 A^3/atom; formation enthalpy at 0 K = 0.157 eV per atom
1.0
3.963 0.000 0.000
0.000 3.687 0.033
0.000 1.524 5.861
Be Zn Sr
1 2 1
Direct
0.500 0.250 0.250 Be
0.000 0.078 0.090 Zn
0.000 0.422 0.410 Zn
0.500 0.750 0.750 Sr


No. 3
SrBeZn (PBE, relaxed); total magnetization = 0.000 μB per formula unit; V = 30.03 A^3/atom; formation enthalpy at 0 K = 0.857 eV per atom; energy above the lowest structure with this stoichiometry = 744 meV per atom
1.0
-3.396 2.482 2.762
-4.088 -2.388 1.704
-0.466 -1.001 4.909
Be Sr Zn
1 1 1
Direct
0.500 0.500 0.500 Be
0.750 0.750 0.750 Sr
0.000 0.000 0.000 Zn


No. 4
SrBeZn (PBE, relaxed); total magnetization = 0.000 μB per formula unit; V = 25.70 A^3/atom; formation enthalpy at 0 K = 0.164 eV per atom; energy above the lowest structure with this stoichiometry = 51 meV per atom
1.0
4.269 0.000 0.000
0.000 5.022 0.000
0.000 2.511 7.192
Zn Be Sr
2 2 2
Direct
0.750 0.858 0.284 Zn
0.250 0.142 0.716 Zn
0.500 0.000 0.000 Be
0.000 0.000 0.000 Be
0.250 0.372 0.257 Sr
0.750 0.628 0.743 Sr